Entry 1:
5
Lattice="5.521 0.000 0.000 0.000 5.521 0.000 0.000 0.000 5.521" Properties=species:S:1:pos:R:3 comment="AlInBr3 SCAN single point on PBEsol structure" formation_energy_uncorrected_ev_per_fu=-1.8 pbc="T T T"
In 0.000 0.000 0.000
Br 0.000 0.000 2.761
Br 0.000 2.761 0.000
Br 2.761 0.000 0.000
Al 2.761 2.761 2.761


Entry 2:
5
Lattice="-0.770 -1.443 4.221 -0.684 -4.687 -1.727 4.921 -0.932 0.579" Properties=species:S:1:pos:R:3 comment="YSc2MnAu SCAN single point on PBEsol structure" formation_energy_ev_per_atom=1.127 pbc="T T T"
Sc -0.342 -2.344 -0.864
Sc 2.460 -0.466 0.290
Y 0.000 0.000 0.000
Au 1.733 -3.531 1.536
Mn -0.385 -0.721 2.110


Entry 3:
5
Lattice="3.805 0.000 0.000 0.000 3.805 0.000 -1.903 -1.903 8.037" Properties=species:S:1:pos:R:3 comment="Tl2Pd2Pb SCAN single point on PBEsol structure" formation_energy_ev_per_atom=0.041 pbc="T T T"
Pd 0.000 1.903 4.018
Pd 1.903 0.000 4.018
Tl 0.000 0.000 6.043
Tl 1.903 1.903 1.994
Pb 0.000 0.000 0.000


Entry 4:
6
Lattice="4.551 0.000 0.001 0.000 6.369 -0.040 -2.274 -3.147 5.498" Properties=species:S:1:pos:R:3 comment="LaHg2 SCAN single point on PBEsol structure" formation_energy_ev_per_atom=-0.601 pbc="T T T"
La 2.277 3.214 3.575
La -0.001 0.008 1.884
Hg 2.275 4.775 -0.025
Hg 0.001 3.187 1.422
Hg 0.001 -1.553 5.485
Hg 2.276 0.035 4.038


Entry 5:
5
Lattice="-2.954 1.944 3.127 -3.501 -2.811 -1.560 1.220 -3.295 3.201" Properties=species:S:1:pos:R:3 comment="NbMoPt2W SCAN single point on PBEsol structure" formation_energy_ev_per_atom=1.468 pbc="T T T"
W 0.000 0.000 0.000
Nb -1.477 0.972 1.564
Pt -1.750 -1.406 -0.780
Pt 0.610 -1.647 1.600
Mo -2.617 -2.081 2.384


Entry 6:
10
Lattice="7.891 0.000 0.000 3.945 6.834 0.000 3.945 2.278 6.443" Properties=species:S:1:pos:R:3 comment="Rb3TlCl6 SCAN single point on PBEsol structure" formation_energy_uncorrected_ev_per_fu=-15.9 pbc="T T T"
Rb 11.836 6.834 4.832
Rb 7.891 4.556 3.221
Rb 3.945 2.278 1.611
Cl 5.764 5.784 1.485
Cl 10.018 5.784 1.485
Cl 7.891 2.100 1.485
Cl 10.018 3.328 4.958
Cl 5.764 3.328 4.958
Cl 7.891 7.012 4.958
Tl 0.000 0.000 0.000


Computed energy, in the same sequence as the records: -1.490; -2.030; -4.202; -4.440; -3.980; -1.458 Ry/atom.